[1]
The following is a DFT calculation (GGA-PBE) of a relaxed structure of ZrAlIr2.

abc: 5.083 5.083 4.373
angles: 73.37 73.37 37.49
Fractional positions:
Ir: 0.988 0.988 0.061
Ir: 0.753 0.753 0.704
Zr: 0.498 0.498 0.544
Al: 0.261 0.261 0.191

**Uncorrected energy**: -8.2104 eV per atom
**Space-group type**: No. 8

---

[2]
The following is a DFT calculation (GGA-PBE) of a relaxed structure of BaTa2W.

abc: 4.969 4.969 6.820
angles: 84.68 84.68 39.15
Fractional positions:
W: 0.483 0.483 0.610
Ba: 0.245 0.245 0.258
Ta: 0.018 0.018 0.891
Ta: 0.753 0.753 0.741

**Energy relative to the lowest polymorph listed for this composition**: 299 meV per atom
**Uncorrected energy**: -8.7495 eV per atom
**Space-group type**: No. 8